# 1
Here is an optimized crystal structure of CeSi2As2Pt7 from the Alexandria database. Energies are from PBE-GGA.

Lattice parameters (Å, degrees): 3.918 3.918 15.213 83.16 83.16 89.70
Element x y z (fractional)
Pt  0.500  0.500  0.000
Pt  0.429  0.930  0.153
Si  0.614  0.614  0.752
Pt  0.070  0.571  0.847
As  0.775  0.775  0.427
Si  0.386  0.386  0.248
Pt  0.571  0.070  0.847
Pt  0.930  0.429  0.153
Ce  0.000  0.000  0.000
Pt  0.317  0.317  0.404
As  0.225  0.225  0.573
Pt  0.683  0.683  0.596

Computed properties:
Formation energy (no corrections) ... -6.74 eV per formula unit


# 2
Here is an optimized crystal structure of Nd4TlCu2 from the Alexandria database. Energies are from PBE-GGA.

Lattice parameters (Å, degrees): 5.061 5.061 9.619 74.75 74.75 60.00
Element x y z (fractional)
Cu  0.100  0.100  0.700
Tl  0.000  0.000  0.000
Nd  0.205  0.205  0.385
Cu  0.900  0.900  0.300
Nd  0.616  0.616  0.152
Nd  0.795  0.795  0.615
Nd  0.384  0.384  0.848

Computed properties:
E_form ... -26 meV per atom


# 3
Here is an optimized crystal structure of Hf2Be2Co5Ge from the Alexandria database. Energies are from PBE-GGA.

Lattice parameters (Å, degrees): 3.150 8.707 8.707 90.00 90.00 90.00
Element x y z (fractional)
Ge  0.000  0.500  0.500
Co  0.500  0.500  0.000
Co  0.500  0.713  0.433
Be  0.000  0.382  0.118
Hf  0.000  0.823  0.677
Co  0.500  0.000  0.500
Co  0.500  0.213  0.067
Be  0.000  0.618  0.882
Co  0.500  0.787  0.933
Be  0.000  0.882  0.382
Co  0.500  0.067  0.787
Hf  0.000  0.677  0.177
Co  0.500  0.933  0.213
Hf  0.000  0.177  0.323
Be  0.000  0.118  0.618
Co  0.500  0.433  0.287
Ge  0.000  0.000  0.000
Co  0.500  0.567  0.713
Co  0.500  0.287  0.567
Hf  0.000  0.323  0.823

Computed properties:
E_form ... -463 meV per atom


# 4
Here is an optimized crystal structure of SiPt3 from the Alexandria database. Energies are from PBE-GGA.

Lattice parameters (Å, degrees): 8.555 8.555 8.555 153.91 153.91 37.23
Element x y z (fractional)
Pt  0.250  0.750  0.500
Si  0.359  0.359  0.000
Pt  0.119  0.119  0.000
Pt  0.500  0.000  0.500
Pt  0.000  0.500  0.500
Pt  0.881  0.881  0.000
Pt  0.750  0.250  0.500
Si  0.641  0.641  0.000

Computed properties:
Formation energy (no corrections) ... -1.07 eV per formula unit


# 5
Here is an optimized crystal structure of Sm4DyAl from the Alexandria database. Energies are from PBE-GGA.

Lattice parameters (Å, degrees): 3.581 3.581 14.321 90.00 90.00 90.00
Element x y z (fractional)
Sm  0.000  0.000  0.364
Al  0.500  0.500  0.500
Sm  0.500  0.500  0.822
Dy  0.000  0.000  0.000
Sm  0.000  0.000  0.636
Sm  0.500  0.500  0.178

Computed properties:
Relative energy among the computed polymorphs ... 0.0 meV/atom
E_form ... -103 meV per atom


# 6
Here is an optimized crystal structure of LiZr2IrN from the Alexandria database. Energies are from PBE-GGA.

Lattice parameters (Å, degrees): 4.483 4.483 3.742 90.00 90.00 90.00
Element x y z (fractional)
Zr  0.000  0.500  0.000
Ir  0.500  0.500  0.500
Li  0.000  0.000  0.500
N  0.000  0.000  0.000
Zr  0.500  0.000  0.000

Computed properties:
Formation energy (no corrections) ... -4.54 eV per formula unit